<one>
DFT (PBE) results for a relaxed structure of LiDyIn2.

Lattice parameters (Å, degrees): 7.246 7.246 7.246 90.00 90.00 90.00
Space group Fm-3m (No. 225)
One atom of each set of equivalent atoms:
Li1 0.000 0.000 0.000
Dy1 0.000 0.000 0.500
In1 0.250 0.250 0.250

<two>
DFT (PBE) results for a relaxed structure of LiDyIn2.

Lattice parameters (Å, degrees): 3.539 3.539 7.327 90.00 90.00 90.00
Space group P4/mmm (No. 123)
One atom of each set of equivalent atoms:
Li1 0.000 0.000 0.000
Dy1 0.000 0.000 0.500
In1 0.500 0.500 0.212

Energy comparison, zero being the most stable, in eV/atom: <one> 0.012; <two> 0.000.

<one>
DFT (PBE) results for a relaxed structure of LiDy4In2.

Lattice parameters (Å, degrees): 7.041 6.572 8.916 90.00 108.48 90.00
Space group P2_1/m (No. 11)
One atom of each set of equivalent atoms:
Li1 0.036 0.250 0.258
Dy1 0.183 0.750 0.139
Dy2 0.326 0.007 0.781
Dy3 0.442 0.250 0.467
In1 0.068 0.750 0.462
In2 0.274 0.250 0.077

<two>
DFT (PBE) results for a relaxed structure of LiDy4In2.

Lattice parameters (Å, degrees): 5.2503 5.2503 25.0777 90.00 90.00 120.00
Space group R-3m (No. 166, hexagonal axes)
One atom of each set of equivalent atoms:
Li1 0.0000 0.0000 0.0000
Dy1 0.0000 0.0000 0.1302
Dy2 0.0000 0.0000 0.3837
In1 0.0000 0.0000 0.2563

Energy comparison, zero being the most stable, in eV/atom: <one> 0.058; <two> 0.000.